5
Lattice="-3.8935 -0.1382 -0.8339 0.8215 -2.2190 -3.4680 -0.9966 -4.9520 5.4736" Properties=species:S:1:pos:R:3 comment="PBE LiCa2Cu2, optimized geometry" crystal_system=orthorhombic e_above_lowest_polymorph_mev_per_atom=0 spacegroup="Cmmm, No. 65" pbc="T T T"
Cu 0.0623 -4.7147 0.4903
Cu -0.2374 -2.4563 1.5154
Ca -2.3714 -4.4628 2.2938
Ca -1.6972 -2.8463 -1.1220
Li 0.0000 0.0000 0.0000



16
Lattice="5.0613 -0.0108 0.0000 0.0107 5.0613 0.0000 0.0000 0.0000 7.1121" Properties=species:S:1:pos:R:3 comment="PBE TaAlNi14, optimized geometry" energy_ev_per_cell=-99.327 crystal_system=tetragonal spacegroup="P4/mmm, No. 123" pbc="T T T"
Ni 3.1598 3.1464 5.3789
Ni 1.9020 1.8939 0.0000
Ni 0.6442 0.6415 5.3788
Ni 3.1598 3.1464 1.7332
Ni 1.9073 4.4246 0.0000
Ni 3.1547 0.6359 5.3789
Ni 1.9074 4.4246 3.5561
Ni 0.6442 0.6415 1.7333
Ni 0.6493 3.1520 5.3789
Ni 0.6493 3.1520 1.7332
Ni 3.1547 0.6359 1.7332
Ni 4.4380 4.4192 0.0000
Ni 4.4326 1.8886 3.5561
Ni 4.4327 1.8885 0.0000
Ta 4.4380 4.4192 3.5561
Al 1.9020 1.8939 3.5561



8
Lattice="-2.6036 -1.3211 -2.1626 5.6400 -0.4893 -3.4394 1.4439 -8.7623 3.6143" Properties=species:S:1:pos:R:3 comment="PBE Tb2TmGa, optimized geometry" crystal_system=orthorhombic e_above_lowest_polymorph_mev_per_atom=0 spacegroup="Cmcm, No. 63" pbc="T T T"
Tb 3.9667 -5.6620 -1.3186
Tb -0.0636 -1.4085 -2.1137
Tb 4.5438 -9.1642 0.1261
Tb 0.5135 -4.9108 -0.6691
Ga 1.8780 -7.7882 -0.5559
Ga 2.6023 -2.7846 -1.4318
Tm 1.5644 -6.6995 2.2086
Tm 2.9158 -3.8732 -4.1962



6
Lattice="3.2582 -0.2470 -0.1894 0.9446 6.6144 0.0608 0.8254 3.0308 8.5361" Properties=species:S:1:pos:R:3 comment="PBE InBiSb, optimized geometry" formation_energy_uncorrected_mev_per_atom=52 crystal_system=triclinic e_above_lowest_polymorph_mev_per_atom=8 spacegroup="P1, No. 1" pbc="T T T"
In 2.4855 2.5534 3.6855
In 2.8873 4.0683 7.9583
Bi 1.7713 8.0705 6.5931
Bi 0.8968 3.9002 1.0279
Sb 1.3345 6.6262 2.4605
Sb 1.3400 5.3417 5.1638



6
Lattice="-0.0688 -5.8518 -1.2795 3.4524 -0.1296 0.4071 -0.8368 0.6179 7.2934" Properties=species:S:1:pos:R:3 comment="PBE AgSCl, optimized geometry" formation_energy_uncorrected_mev_per_atom=107 crystal_system=monoclinic e_above_lowest_polymorph_mev_per_atom=357 spacegroup="Cm, No. 8" pbc="T T T"
Cl 1.4178 -0.9380 2.5412
Cl -0.7268 -0.5642 5.9844
S -0.2144 -3.9418 0.5635
S 1.0933 -3.6977 4.4138
Ag 1.6854 -2.7861 -0.3168
Ag -0.4592 -2.4123 3.1263



30
Lattice="-6.8440 -3.4217 -3.6600 -6.8562 -1.7871 4.6630 -7.0673 4.6003 -0.9138" Properties=species:S:1:pos:R:3 comment="PBE Li23SiRh6, optimized geometry" formation_energy_uncorrected_mev_per_atom=-95 crystal_system=cubic spacegroup="Fm-3m, No. 225" pbc="T T T"
Li -14.7135 1.2497 1.9883
Li -13.2081 -0.3870 0.0568
Li 0.0000 0.0000 0.0000
Li -3.4220 -1.7109 -1.8300
Li -11.2891 -1.1936 2.5692
Li -6.9557 0.5893 -2.2869
Li -9.3635 -2.8896 0.5539
Li -11.4040 2.2811 -0.4646
Li -14.5970 -2.9361 0.5554
Li -7.5593 -0.2215 0.0325
Li -3.5336 2.3002 -0.4569
Li -18.2847 -0.5357 0.0786
Li -6.8501 -2.6044 0.5015
Li -3.4281 -0.8935 2.3315
Li -9.4849 1.4745 2.0478
Li -9.4783 0.5852 -2.4800
Li -2.4828 -0.0727 0.0107
Li -11.2825 -2.0829 -1.9586
Li -6.9617 1.4066 1.8746
Li -6.1704 2.3277 -0.4662
Li -6.0603 -1.0052 2.4438
Li -14.7072 0.3968 -2.3546
Li -6.0540 -1.8582 -1.8991
Rh -8.8793 -1.6292 -1.5299
Rh -11.8830 0.3260 -1.9183
Rh -8.9741 1.7804 -0.3627
Rh -8.8844 -0.9345 2.0076
Rh -11.8882 1.0208 1.6192
Rh -11.7933 -2.3888 0.4520
Si -10.3837 -0.3042 0.0446



| no. | V (Å³/cell) | M_tot (μB per formula unit) |
| --- | --- | --- |
| 1 | 119.5 | 0.00 |
| 2 | 182.2 | 4.89 |
| 3 | 221.9 | 0.00 |
| 4 | 185.8 | 0.00 |
| 5 | 146.8 | 0.00 |
| 6 | 431.5 | 0.00 |